Entry 1:
# Li2CeHg3

Li2CeHg3 after structural relaxation (PBE-GGA, Alexandria).

a = 4.7353 Å, b = 4.7353 Å, c = 13.9351 Å
α = 90.00°, β = 90.00°, γ = 120.00°
Sites, in units of the cell vectors:
Li1 0.3333 0.6667 0.0678
Li2 0.3333 0.6667 0.4322
Li3 0.6667 0.3333 0.5678
Li4 0.6667 0.3333 0.9322
Ce1 0.0000 0.0000 0.2500
Ce2 0.0000 0.0000 0.7500
Hg1 0.0000 0.0000 0.0000
Hg2 0.0000 0.0000 0.5000
Hg3 0.3333 0.6667 0.6303
Hg4 0.3333 0.6667 0.8697
Hg5 0.6667 0.3333 0.1303
Hg6 0.6667 0.3333 0.3697

Computed properties:
The calculation puts the polymorph energy (0 for the lowest one) at 0.0207 eV/atom. Its calculated total energy is -12.6 eV per formula unit. For the calculated formation energy, the calculation gives -320.9 meV/atom. The calculation puts the density of states at the Fermi level at 9.44 states/eV/f.u.

---

Entry 2:
# Li4CeHg8

Li4CeHg8 after structural relaxation (PBE-GGA, Alexandria).

a = 7.5625 Å, b = 7.5625 Å, c = 7.5625 Å
α = 97.85°, β = 97.85°, γ = 136.63°
Sites, in units of the cell vectors:
Li1 0.0000 0.0000 0.5000
Li2 0.0000 0.5000 0.0000
Li3 0.5000 0.0000 0.0000
Li4 0.5000 0.5000 0.5000
Ce1 0.0000 0.0000 0.0000
Hg1 0.0000 0.3370 0.3370
Hg2 0.0000 0.6630 0.6630
Hg3 0.2858 0.5000 0.7858
Hg4 0.3370 0.0000 0.3370
Hg5 0.5000 0.2858 0.7858
Hg6 0.5000 0.7142 0.2142
Hg7 0.6630 0.0000 0.6630
Hg8 0.7142 0.5000 0.2142

Computed properties:
Its calculated total energy is -19.5 eV per formula unit. For the calculated formation energy, the calculation gives -268.2 meV/atom. The calculation puts the density of states at the Fermi level at 13.96 states/eV/f.u.

---

Entry 3:
# Li5CeHg4

Li5CeHg4 after structural relaxation (PBE-GGA, Alexandria).

a = 3.3880 Å, b = 3.3880 Å, c = 17.2924 Å
α = 90.00°, β = 90.00°, γ = 90.00°
Sites, in units of the cell vectors:
Li1 0.0000 0.0000 0.0000
Li2 0.0000 0.0000 0.1854
Li3 0.0000 0.0000 0.3619
Li4 0.0000 0.0000 0.6381
Li5 0.0000 0.0000 0.8146
Ce1 0.5000 0.5000 0.5000
Hg1 0.5000 0.5000 0.0946
Hg2 0.5000 0.5000 0.2835
Hg3 0.5000 0.5000 0.7165
Hg4 0.5000 0.5000 0.9054

Computed properties:
Its calculated total energy is -19.2 eV per formula unit. For the calculated formation energy, the calculation gives -246.4 meV/atom. The calculation puts the density of states at the Fermi level at 9.18 states/eV/f.u.

---

Entry 4:
# LiCe2Hg4

LiCe2Hg4 after structural relaxation (PBE-GGA, Alexandria).

a = 8.7873 Å, b = 8.7873 Å, c = 8.7873 Å
α = 148.00°, β = 148.00°, γ = 45.88°
Sites, in units of the cell vectors:
Li1 0.0000 0.0000 0.0000
Ce1 0.3596 0.3596 0.0000
Ce2 0.6404 0.6404 0.0000
Hg1 0.0000 0.5000 0.5000
Hg2 0.1658 0.1658 0.0000
Hg3 0.5000 0.0000 0.5000
Hg4 0.8342 0.8342 0.0000

Computed properties:
The calculation puts the polymorph energy (0 for the lowest one) at 0.0858 eV/atom. Its calculated total energy is -16.0 eV per formula unit. For the calculated formation energy, the calculation gives -138.8 meV/atom. The calculation puts the density of states at the Fermi level at 20.61 states/eV/f.u.

---

Entry 5:
# LiCe3Hg4

LiCe3Hg4 after structural relaxation (PBE-GGA, Alexandria).

a = 3.4159 Å, b = 3.4159 Å, c = 16.8186 Å
α = 90.00°, β = 90.00°, γ = 90.00°
Sites, in units of the cell vectors:
Li1 0.0000 0.0000 0.0000
Ce1 0.0000 0.0000 0.2297
Ce2 0.0000 0.0000 0.5000
Ce3 0.0000 0.0000 0.7703
Hg1 0.5000 0.5000 0.0949
Hg2 0.5000 0.5000 0.3647
Hg3 0.5000 0.5000 0.6353
Hg4 0.5000 0.5000 0.9051

Computed properties:
Its calculated total energy is -23.4 eV per formula unit. For the calculated formation energy, the calculation gives -312.5 meV/atom. The calculation puts the density of states at the Fermi level at 19.64 states/eV/f.u.

---

Entry 6:
# LiCe5Hg6

LiCe5Hg6 after structural relaxation (PBE-GGA, Alexandria).

a = 9.0655 Å, b = 9.0655 Å, c = 5.2302 Å
α = 106.33°, β = 106.33°, γ = 50.29°
Sites, in units of the cell vectors:
Li1 0.0000 0.0000 0.0000
Ce1 0.1826 0.1826 0.6807
Ce2 0.3404 0.3404 0.3411
Ce3 0.5000 0.5000 0.0000
Ce4 0.6596 0.6596 0.6589
Ce5 0.8174 0.8174 0.3193
Hg1 0.0710 0.6210 0.8472
Hg2 0.2131 0.7869 0.5000
Hg3 0.3790 0.9290 0.1528
Hg4 0.6210 0.0710 0.8472
Hg5 0.7869 0.2131 0.5000
Hg6 0.9290 0.3790 0.1528

Computed properties:
Its calculated total energy is -37.0 eV per formula unit. For the calculated formation energy, the calculation gives -299.7 meV/atom. The calculation puts the density of states at the Fermi level at 36.90 states/eV/f.u.

---

Entry 7:
# LiCe5Hg8

LiCe5Hg8 after structural relaxation (PBE-GGA, Alexandria).

a = 7.9191 Å, b = 7.9191 Å, c = 7.9191 Å
α = 109.57°, β = 109.57°, γ = 109.27°
Sites, in units of the cell vectors:
Li1 0.0000 0.0000 0.0000
Ce1 0.1516 0.2899 0.6419
Ce2 0.2500 0.7500 0.5000
Ce3 0.4903 0.8484 0.1383
Ce4 0.6480 0.5097 0.3581
Ce5 0.7101 0.3520 0.8617
Hg1 0.0223 0.6447 0.7824
Hg2 0.1786 0.4140 0.0802
Hg3 0.3338 0.0984 0.9198
Hg4 0.3553 0.1376 0.3775
Hg5 0.5860 0.6662 0.7646
Hg6 0.7601 0.9777 0.6225
Hg7 0.8624 0.2399 0.2176
Hg8 0.9016 0.8214 0.2354

Computed properties:
Its calculated total energy is -37.6 eV per formula unit. For the calculated formation energy, the calculation gives -256.0 meV/atom. The calculation puts the density of states at the Fermi level at 42.46 states/eV/f.u.

---

Entry 8:
# Li3CeHg3

Li3CeHg3 after structural relaxation (PBE-GGA, Alexandria).

a = 7.0595 Å, b = 7.0595 Å, c = 7.0595 Å
α = 90.00°, β = 90.00°, γ = 90.00°
Sites, in units of the cell vectors:
Li1 0.0000 0.2500 0.5000
Li2 0.0000 0.7500 0.5000
Li3 0.2500 0.5000 0.0000
Li4 0.5000 0.0000 0.2500
Li5 0.5000 0.0000 0.7500
Li6 0.7500 0.5000 0.0000
Ce1 0.0000 0.0000 0.0000
Ce2 0.5000 0.5000 0.5000
Hg1 0.0000 0.5000 0.2500
Hg2 0.0000 0.5000 0.7500
Hg3 0.2500 0.0000 0.5000
Hg4 0.5000 0.2500 0.0000
Hg5 0.5000 0.7500 0.0000
Hg6 0.7500 0.0000 0.5000

Computed properties:
Its calculated total energy is -12.4 eV per formula unit. For the calculated formation energy, the calculation gives 21.9 meV/atom. The calculation puts the density of states at the Fermi level at 14.54 states/eV/f.u.